{"formula": "Mg5In2Hg12", "functional": "GGA-PBE", "state": "relaxed", "relative_energy_mev_per_atom": 0, "delta_e_f_ev_per_atom": -0.06, "spacegroup": "C2/m, No. 12", "vol_a3_per_atom": 24.76, "dft_energy_ev_per_atom": -0.96, "cell": [[9.174, -3.530, 0.000], [9.174, 3.530, 0.000], [-2.815, 0.000, 7.264]], "species": ["Mg", "Mg", "Mg", "Mg", "Mg", "In", "In", "Hg", "Hg", "Hg", "Hg", "Hg", "Hg", "Hg", "Hg", "Hg", "Hg", "Hg", "Hg"], "frac_coords": [[0.000, 0.000, 0.000], [0.235, 0.235, 0.980], [0.299, 0.299, 0.632], [0.701, 0.701, 0.368], [0.765, 0.765, 0.020], [0.220, 0.780, 0.500], [0.780, 0.220, 0.500], [0.096, 0.533, 0.323], [0.130, 0.130, 0.347], [0.152, 0.607, 0.995], [0.393, 0.848, 0.005], [0.467, 0.904, 0.677], [0.471, 0.471, 0.766], [0.529, 0.529, 0.234], [0.533, 0.096, 0.323], [0.607, 0.152, 0.995], [0.848, 0.393, 0.005], [0.870, 0.870, 0.653], [0.904, 0.467, 0.677]]}

{"formula": "Mg3In2Hg4", "functional": "GGA-PBE", "state": "relaxed", "delta_e_f_ev_per_atom": -0.09, "spacegroup": "C2/m, No. 12", "vol_a3_per_atom": 23.79, "dft_energy_ev_per_atom": -1.37, "cell": [[6.322, -1.926, 0.000], [6.322, 1.926, 0.000], [-1.323, 0.000, 8.796]], "species": ["Mg", "Mg", "Mg", "In", "In", "Hg", "Hg", "Hg", "Hg"], "frac_coords": [[0.000, 0.000, 0.000], [0.348, 0.348, 0.441], [0.652, 0.652, 0.559], [0.313, 0.313, 0.774], [0.687, 0.687, 0.226], [0.020, 0.020, 0.335], [0.352, 0.352, 0.114], [0.648, 0.648, 0.886], [0.980, 0.980, 0.665]]}